! PBE Sr2AcZn4, optimized geometry; values from VASP
&SYSTEM
  ibrav = 0, nat = 7, ntyp = 3
/
ATOMIC_SPECIES
Sr 87.62 Sr.upf
Ac 227.00 Ac.upf
Zn 65.41 Zn.upf
CELL_PARAMETERS angstrom
4.468 0.000 -1.019
-0.227 4.257 -0.994
0.085 0.249 10.681
ATOMIC_POSITIONS angstrom
Sr 3.513 3.630 5.102
Sr 0.813 0.876 3.566
Ac 2.234 0.000 -0.509
Zn 2.695 2.747 1.513
Zn 1.631 1.759 7.156
Zn 0.167 2.431 0.733
Zn 4.159 2.075 7.935
! * space-group type: Immm, No. 71
! * E_tot: -2.03 eV/atom
! * Fermi-level density of states: 0.93 states/eV per atom

***

! PBE SrAcZn3, optimized geometry; values from VASP
&SYSTEM
  ibrav = 0, nat = 10, ntyp = 3
/
ATOMIC_SPECIES
Sr 87.62 Sr.upf
Ac 227.00 Ac.upf
Zn 65.41 Zn.upf
CELL_PARAMETERS angstrom
-3.719 1.320 1.112
-1.519 -4.403 0.146
5.749 -1.537 13.490
ATOMIC_POSITIONS angstrom
Sr 0.442 -3.659 5.820
Sr 0.069 -0.961 8.928
Ac 0.353 -3.398 12.770
Ac 0.158 -1.222 1.978
Zn -2.106 -2.843 3.890
Zn 2.617 -1.776 10.859
Zn -2.822 -2.682 1.303
Zn 3.333 -1.938 13.445
Zn -0.972 -0.726 5.169
Zn 1.483 -3.893 9.579
! * space-group type: Cmcm, No. 63
! * E_tot: -2.17 eV/atom
! * Fermi-level density of states: 1.13 states/eV per atom

***

! PBE SrAc2Zn9, optimized geometry; values from VASP
&SYSTEM
  ibrav = 0, nat = 12, ntyp = 3
/
ATOMIC_SPECIES
Sr 87.62 Sr.upf
Ac 227.00 Ac.upf
Zn 65.41 Zn.upf
CELL_PARAMETERS angstrom
5.794 0.000 0.000
2.897 5.018 0.000
2.897 1.673 8.876
ATOMIC_POSITIONS angstrom
Sr 0.000 0.000 0.000
Ac 8.691 5.018 3.759
Ac 2.897 1.673 5.117
Zn 5.794 3.345 0.027
Zn 5.794 3.345 8.849
Zn 5.794 3.345 4.438
Zn 4.341 2.506 2.103
Zn 7.247 2.506 2.103
Zn 5.794 5.023 2.103
Zn 7.247 4.184 6.773
Zn 5.794 1.667 6.773
Zn 4.341 4.184 6.773
! * space-group type: R-3m, No. 166
! * E_tot: -1.98 eV/atom
! * Fermi-level density of states: 0.69 states/eV per atom

***

! PBE Sr2Ac2Zn3, optimized geometry; values from VASP
&SYSTEM
  ibrav = 0, nat = 7, ntyp = 3
/
ATOMIC_SPECIES
Sr 87.62 Sr.upf
Ac 227.00 Ac.upf
Zn 65.41 Zn.upf
CELL_PARAMETERS angstrom
5.294 0.000 -1.474
-2.853 4.700 -0.003
-0.156 -0.095 9.635
ATOMIC_POSITIONS angstrom
Sr 0.912 0.554 3.254
Sr 1.373 4.050 4.904
Ac 2.881 1.752 0.099
Ac -0.596 2.852 8.058
Zn 0.000 0.000 0.000
Zn 1.844 1.120 6.581
Zn 0.441 3.484 1.577
! * space-group type: C2/m, No. 12
! * E_tot: -2.35 eV/atom
! * Fermi-level density of states: 0.73 states/eV per atom

***

! PBE SrAc2Zn, optimized geometry; values from VASP
&SYSTEM
  ibrav = 0, nat = 4, ntyp = 3
/
ATOMIC_SPECIES
Sr 87.62 Sr.upf
Ac 227.00 Ac.upf
Zn 65.41 Zn.upf
CELL_PARAMETERS angstrom
3.994 0.000 0.000
1.997 3.459 0.000
1.997 1.153 12.436
ATOMIC_POSITIONS angstrom
Sr 0.000 0.000 0.000
Ac 1.997 1.153 8.474
Ac 5.991 3.459 3.962
Zn 3.994 2.306 6.218
! * space-group type: R-3m, No. 166
! * E_tot: -2.68 eV/atom
! * offset from the most stable computed form: 0.80 eV/f.u.
! * Fermi-level density of states: 1.49 states/eV per atom

***

! PBE Sr4AcZn5, optimized geometry; values from VASP
&SYSTEM
  ibrav = 0, nat = 10, ntyp = 3
/
ATOMIC_SPECIES
Sr 87.62 Sr.upf
Ac 227.00 Ac.upf
Zn 65.41 Zn.upf
CELL_PARAMETERS angstrom
-2.472 -0.255 -3.028
2.783 -1.758 -2.124
-6.075 -17.385 6.425
ATOMIC_POSITIONS angstrom
Sr -1.214 -3.473 1.284
Sr -2.428 -6.947 2.567
Sr -3.648 -10.438 3.858
Sr -4.862 -13.912 5.141
Ac 0.000 0.000 0.000
Zn -0.437 -2.702 -1.949
Zn -1.668 -6.226 -0.647
Zn -2.882 -9.699 0.636
Zn -4.096 -13.172 1.920
Zn -5.327 -16.696 3.222
! * space-group type: P4/mmm, No. 123
! * E_tot: -1.92 eV/atom
! * Fermi-level density of states: 0.71 states/eV per atom